The following is a PBE calculation of crystalline Y2TaTc at its relaxed geometry, from Alexandria via LeMat-Bulk.

Cell and atoms, written as CIF:
```
data_Y2TaTc
_chemical_formula_sum 'Y2 Ta1 Tc1'
_space_group_name_H-M_alt 'P 1'
_space_group_IT_number 1
_cell_length_a 3.5793
_cell_length_b 4.8114
_cell_length_c 4.9546
_cell_angle_alpha 90.00
_cell_angle_beta 90.00
_cell_angle_gamma 90.00
loop_
_space_group_symop_operation_xyz
'x,y,z'
loop_
_atom_site_label
_atom_site_type_symbol
_atom_site_fract_x
_atom_site_fract_y
_atom_site_fract_z
_atom_site_occupancy
Y1 Y 0.0000 0.0000 0.0000 1
Y2 Y 0.5000 0.5000 0.0000 1
Ta1 Ta 0.0000 0.5000 0.5000 1
Tc1 Tc 0.5000 0.0000 0.5000 1
```

Values from the calculation:
E above lowest polymorph ... 454 meV/atom
Volume ... 21.331 Å³ per atom
Space group ... Pmmm (47)
Energy of formation from the pure elements ... 0.417 eV per atom
Magnetic moment ... 0.0 μB per cell
DOS(E_F) ... 1.1499 states/eV/atom

***

The following is a PBE calculation of crystalline Y2TaTc at its relaxed geometry, from Alexandria via LeMat-Bulk.

Cell and atoms, written as CIF:
```
data_Y2TaTc
_chemical_formula_sum 'Y4 Ta2 Tc2'
_space_group_name_H-M_alt 'P 1'
_space_group_IT_number 1
_cell_length_a 3.4713
_cell_length_b 5.1344
_cell_length_c 10.3511
_cell_angle_alpha 90.00
_cell_angle_beta 90.00
_cell_angle_gamma 90.00
loop_
_space_group_symop_operation_xyz
'x,y,z'
loop_
_atom_site_label
_atom_site_type_symbol
_atom_site_fract_x
_atom_site_fract_y
_atom_site_fract_z
_atom_site_occupancy
Y1 Y 0.0000 0.0000 0.0000 1
Y2 Y 0.0000 0.5000 0.2157 1
Y3 Y 0.5000 0.0000 0.7157 1
Y4 Y 0.5000 0.5000 0.5000 1
Ta1 Ta 0.0000 0.5000 0.7949 1
Ta2 Ta 0.5000 0.0000 0.2949 1
Tc1 Tc 0.0000 0.0000 0.4703 1
Tc2 Tc 0.5000 0.5000 0.9703 1
```

Values from the calculation:
E above lowest polymorph ... 52 meV/atom
Volume ... 23.061 Å³ per atom
Space group ... Imm2 (44)
Energy of formation from the pure elements ... 0.015 eV per atom
Magnetic moment ... 0.0 μB per cell
DOS(E_F) ... 0.8145 states/eV/atom

***

The following is a PBE calculation of crystalline YTaTc4 at its relaxed geometry, from Alexandria via LeMat-Bulk.

Cell and atoms, written as CIF:
```
data_YTaTc4
_chemical_formula_sum 'Y1 Ta1 Tc4'
_space_group_name_H-M_alt 'P 1'
_space_group_IT_number 1
_cell_length_a 5.2785
_cell_length_b 5.2785
_cell_length_c 5.2785
_cell_angle_alpha 60.00
_cell_angle_beta 60.00
_cell_angle_gamma 60.00
loop_
_space_group_symop_operation_xyz
'x,y,z'
loop_
_atom_site_label
_atom_site_type_symbol
_atom_site_fract_x
_atom_site_fract_y
_atom_site_fract_z
_atom_site_occupancy
Y1 Y 0.0000 0.0000 0.0000 1
Ta1 Ta 0.7500 0.7500 0.7500 1
Tc1 Tc 0.3755 0.3755 0.3755 1
Tc2 Tc 0.3755 0.3755 0.8734 1
Tc3 Tc 0.3755 0.8734 0.3755 1
Tc4 Tc 0.8734 0.3755 0.3755 1
```

Values from the calculation:
Volume ... 17.332 Å³ per atom
Space group ... F-43m (216)
Energy of formation from the pure elements ... -0.054 eV per atom
Magnetic moment ... 0.0 μB per cell
DOS(E_F) ... 1.3694 states/eV/atom

***

The following is a PBE calculation of crystalline Y2TaTc at its relaxed geometry, from Alexandria via LeMat-Bulk.

Cell and atoms, written as CIF:
```
data_Y2TaTc
_chemical_formula_sum 'Y8 Ta4 Tc4'
_space_group_name_H-M_alt 'P 1'
_space_group_IT_number 1
_cell_length_a 7.0833
_cell_length_b 7.0833
_cell_length_c 7.0833
_cell_angle_alpha 90.00
_cell_angle_beta 90.00
_cell_angle_gamma 90.00
loop_
_space_group_symop_operation_xyz
'x,y,z'
loop_
_atom_site_label
_atom_site_type_symbol
_atom_site_fract_x
_atom_site_fract_y
_atom_site_fract_z
_atom_site_occupancy
Y1 Y 0.2500 0.2500 0.2500 1
Y2 Y 0.2500 0.2500 0.7500 1
Y3 Y 0.2500 0.7500 0.2500 1
Y4 Y 0.2500 0.7500 0.7500 1
Y5 Y 0.7500 0.2500 0.2500 1
Y6 Y 0.7500 0.2500 0.7500 1
Y7 Y 0.7500 0.7500 0.2500 1
Y8 Y 0.7500 0.7500 0.7500 1
Ta1 Ta 0.0000 0.0000 0.0000 1
Ta2 Ta 0.0000 0.5000 0.5000 1
Ta3 Ta 0.5000 0.0000 0.5000 1
Ta4 Ta 0.5000 0.5000 0.0000 1
Tc1 Tc 0.0000 0.0000 0.5000 1
Tc2 Tc 0.0000 0.5000 0.0000 1
Tc3 Tc 0.5000 0.0000 0.0000 1
Tc4 Tc 0.5000 0.5000 0.5000 1
```

Values from the calculation:
E above lowest polymorph ... 560 meV/atom
Volume ... 22.212 Å³ per atom
Space group ... Fm-3m (225)
Energy of formation from the pure elements ... 0.523 eV per atom
Magnetic moment ... 9.4 μB per cell
DOS(E_F) ... 1.5715 states/eV/atom

***

The following is a PBE calculation of crystalline Y2TaTc at its relaxed geometry, from Alexandria via LeMat-Bulk.

Cell and atoms, written as CIF:
```
data_Y2TaTc
_chemical_formula_sum 'Y2 Ta1 Tc1'
_space_group_name_H-M_alt 'P 1'
_space_group_IT_number 1
_cell_length_a 5.0456
_cell_length_b 5.0456
_cell_length_c 3.4404
_cell_angle_alpha 90.00
_cell_angle_beta 90.00
_cell_angle_gamma 90.00
loop_
_space_group_symop_operation_xyz
'x,y,z'
loop_
_atom_site_label
_atom_site_type_symbol
_atom_site_fract_x
_atom_site_fract_y
_atom_site_fract_z
_atom_site_occupancy
Y1 Y 0.0000 0.5000 0.0000 1
Y2 Y 0.5000 0.0000 0.0000 1
Ta1 Ta 0.0000 0.0000 0.5000 1
Tc1 Tc 0.5000 0.5000 0.5000 1
```

Values from the calculation:
E above lowest polymorph ... 552 meV/atom
Volume ... 21.897 Å³ per atom
Space group ... P4/mmm (123)
Energy of formation from the pure elements ... 0.516 eV per atom
Magnetic moment ... 0.0 μB per cell
DOS(E_F) ... 1.8983 states/eV/atom

***

The following is a PBE calculation of crystalline Y2TaTc at its relaxed geometry, from Alexandria via LeMat-Bulk.

Cell and atoms, written as CIF:
```
data_Y2TaTc
_chemical_formula_sum 'Y4 Ta2 Tc2'
_space_group_name_H-M_alt 'P 1'
_space_group_IT_number 1
_cell_length_a 5.8456
_cell_length_b 9.6941
_cell_length_c 3.0600
_cell_angle_alpha 90.00
_cell_angle_beta 90.00
_cell_angle_gamma 90.00
loop_
_space_group_symop_operation_xyz
'x,y,z'
loop_
_atom_site_label
_atom_site_type_symbol
_atom_site_fract_x
_atom_site_fract_y
_atom_site_fract_z
_atom_site_occupancy
Y1 Y 0.2500 0.2500 0.0000 1
Y2 Y 0.2500 0.7500 0.0000 1
Y3 Y 0.7500 0.2500 0.0000 1
Y4 Y 0.7500 0.7500 0.0000 1
Ta1 Ta 0.0000 0.0000 0.5000 1
Ta2 Ta 0.5000 0.5000 0.5000 1
Tc1 Tc 0.0000 0.5000 0.5000 1
Tc2 Tc 0.5000 0.0000 0.5000 1
```

Values from the calculation:
E above lowest polymorph ... 529 meV/atom
Volume ... 21.675 Å³ per atom
Space group ... Cmmm (65)
Energy of formation from the pure elements ... 0.492 eV per atom
Magnetic moment ... 0.0 μB per cell
DOS(E_F) ... 1.0367 states/eV/atom

***

The following is a PBE calculation of crystalline Y2TaTc at its relaxed geometry, from Alexandria via LeMat-Bulk.

Cell and atoms, written as CIF:
```
data_Y2TaTc
_chemical_formula_sum 'Y2 Ta1 Tc1'
_space_group_name_H-M_alt 'P 1'
_space_group_IT_number 1
_cell_length_a 3.1458
_cell_length_b 4.8040
_cell_length_c 5.8902
_cell_angle_alpha 90.00
_cell_angle_beta 103.95
_cell_angle_gamma 90.00
loop_
_space_group_symop_operation_xyz
'x,y,z'
loop_
_atom_site_label
_atom_site_type_symbol
_atom_site_fract_x
_atom_site_fract_y
_atom_site_fract_z
_atom_site_occupancy
Y1 Y 0.0960 0.0000 0.2598 1
Y2 Y 0.9040 0.0000 0.7402 1
Ta1 Ta 0.5000 0.5000 0.0000 1
Tc1 Tc 0.5000 0.5000 0.5000 1
```

Values from the calculation:
E above lowest polymorph ... 436 meV/atom
Volume ... 21.597 Å³ per atom
Space group ... P2/m (10)
Energy of formation from the pure elements ... 0.399 eV per atom
Magnetic moment ... 0.0 μB per cell
DOS(E_F) ... 0.9614 states/eV/atom